1.
## CdPt5N (PBE)

Data for an optimized crystal structure of CdPt5N.

Values from the calculation:
space group	P4/mmm (123)

Unit cell a=3.915 b=3.915 c=6.983 alpha=90.00 beta=90.00 gamma=90.00
Atoms (fractional coordinates):
Pt1 0.500 0.000 0.302
Pt2 0.500 0.000 0.698
Pt3 0.500 0.500 0.000
Pt4 0.000 0.500 0.302
Pt5 0.000 0.500 0.698
Cd1 0.000 0.000 0.000
N1 0.500 0.500 0.500



2.
## NaSmMgTe3 (PBE)

Data for an optimized crystal structure of NaSmMgTe3.

Values from the calculation:
space group	P2_1/m (11)
energy relative to the lowest polymorph listed for this composition	0.0	meV/atom

Unit cell a=8.930 b=4.503 c=10.624 alpha=90.00 beta=104.26 gamma=90.00
Atoms (fractional coordinates):
Mg1 0.418 0.750 0.395
Mg2 0.582 0.250 0.605
Te1 0.266 0.250 0.462
Te2 0.062 0.250 0.838
Te3 0.420 0.750 0.136
Te4 0.734 0.750 0.538
Te5 0.580 0.250 0.864
Te6 0.938 0.750 0.162
Sm1 0.174 0.250 0.141
Sm2 0.826 0.750 0.859
Na1 0.304 0.750 0.797
Na2 0.696 0.250 0.203



3.
## NaZrCu3S4 (PBE)

Data for an optimized crystal structure of NaZrCu3S4.

Values from the calculation:
space group	P-43m (215)
energy relative to the lowest polymorph listed for this composition	0.0	meV/atom

Unit cell a=5.755 b=5.755 c=5.755 alpha=90.00 beta=90.00 gamma=90.00
Atoms (fractional coordinates):
Na1 0.000 0.000 0.000
Zr1 0.500 0.500 0.500
S1 0.738 0.738 0.262
S2 0.262 0.738 0.738
S3 0.262 0.262 0.262
S4 0.738 0.262 0.738
Cu1 0.000 0.500 0.500
Cu2 0.500 0.500 0.000
Cu3 0.500 0.000 0.500



4.
## LiNbNiSb (PBE)

Data for an optimized crystal structure of LiNbNiSb.

Values from the calculation:
space group	F-43m (216)
energy relative to the lowest polymorph listed for this composition	11.8	meV/atom

Unit cell a=4.491 b=4.491 c=4.491 alpha=60.00 beta=60.00 gamma=60.00
Atoms (fractional coordinates):
Nb1 0.250 0.250 0.250
Li1 0.500 0.500 0.500
Sb1 0.000 0.000 0.000
Ni1 0.750 0.750 0.750



5.
## Te2Ir2O5 (PBE)

Data for an optimized crystal structure of Te2Ir2O5.

Values from the calculation:
space group	P4/mmm (123)
energy relative to the lowest polymorph listed for this composition	0.0	meV/atom

Unit cell a=7.386 b=3.869 c=3.869 alpha=90.00 beta=90.00 gamma=90.00
Atoms (fractional coordinates):
O1 0.283 0.500 0.000
O2 0.717 0.000 0.500
O3 0.283 0.000 0.500
O4 0.500 0.500 0.500
O5 0.717 0.500 0.000
Ir1 0.205 0.500 0.500
Ir2 0.795 0.500 0.500
Te1 0.000 0.000 0.000
Te2 0.500 0.000 0.000



6.
## HfCd2N (PBE)

Data for an optimized crystal structure of HfCd2N.

Values from the calculation:
space group	P6_3/mmc (194)

Unit cell a=3.233 b=3.233 c=15.698 alpha=90.00 beta=90.00 gamma=120.00
Site moments in Bohr magnetons follow the coordinates.
Atoms (fractional coordinates):
Cd1 0.667 0.333 0.910  0.01
Cd2 0.667 0.333 0.590  0.01
Cd3 0.333 0.667 0.090  0.01
Cd4 0.333 0.667 0.410  0.01
Hf1 0.333 0.667 0.750  0.32
Hf2 0.667 0.333 0.250  0.32
N1 0.000 0.000 0.500  0.11
N2 0.000 0.000 0.000  0.11



7.
## SmGdS2F2 (PBE)

Data for an optimized crystal structure of SmGdS2F2.

Values from the calculation:
space group	P4mm (99)

Unit cell a=3.806 b=3.806 c=6.846 alpha=90.00 beta=90.00 gamma=90.00
Atoms (fractional coordinates):
S1 0.000 0.000 0.645
S2 0.500 0.500 0.358
F1 0.500 0.000 0.998
F2 0.000 0.500 0.998
Gd1 0.500 0.500 0.771
Sm1 0.000 0.000 0.229



8.
## NaLiCoTc (PBE)

Data for an optimized crystal structure of NaLiCoTc.

Values from the calculation:
space group	F-43m (216)
energy relative to the lowest polymorph listed for this composition	0.0	meV/atom

Unit cell a=4.243 b=4.243 c=4.243 alpha=60.00 beta=60.00 gamma=60.00
Atoms (fractional coordinates):
Li1 0.750 0.750 0.750
Co1 0.000 0.000 0.000
Tc1 0.250 0.250 0.250
Na1 0.500 0.500 0.500



9.
## HoErBC2 (PBE)

Data for an optimized crystal structure of HoErBC2.

Values from the calculation:
space group	Cm (8)

Unit cell a=3.584 b=3.584 c=5.998 alpha=106.85 beta=106.85 gamma=89.99
Atoms (fractional coordinates):
B1 0.000 0.000 0.000
Er1 0.348 0.348 0.702
C1 0.861 0.861 0.727
C2 0.139 0.139 0.273
Ho1 0.652 0.652 0.298



10.
## TlWAuSeS2 (PBE)

Data for an optimized crystal structure of TlWAuSeS2.

Values from the calculation:
space group	Cmcm (63)

Unit cell a=8.603 b=8.603 c=9.799 alpha=90.00 beta=90.00 gamma=157.44
Atoms (fractional coordinates):
Se1 0.462 0.538 0.750
Se2 0.538 0.462 0.250
W1 0.500 0.500 0.000
W2 0.500 0.500 0.500
S1 0.898 0.102 0.468
S2 0.102 0.898 0.532
S3 0.898 0.102 0.032
S4 0.102 0.898 0.968
Tl1 0.189 0.811 0.250
Tl2 0.811 0.189 0.750
Au1 0.832 0.168 0.250
Au2 0.168 0.832 0.750



11.
## BaRe2O6 (PBE)

Data for an optimized crystal structure of BaRe2O6.

Values from the calculation:
space group	P-31m (162)
energy relative to the lowest polymorph listed for this composition	82.6	meV/atom

Unit cell a=5.363 b=5.363 c=5.512 alpha=90.00 beta=90.00 gamma=120.00
Site moments in Bohr magnetons follow the coordinates.
Atoms (fractional coordinates):
Re1 0.333 0.667 0.500  1.51
Re2 0.667 0.333 0.500  1.51
O1 0.395 0.395 0.698  0.07
O2 0.605 0.605 0.302  0.07
O3 0.000 0.605 0.698  0.05
O4 0.395 0.000 0.302  0.06
O5 0.605 0.000 0.698  0.06
O6 0.000 0.395 0.302  0.05
Ba1 0.000 0.000 0.000  0.02



12.
## HoEr2Ga3Si2Ni (PBE)

Data for an optimized crystal structure of HoEr2Ga3Si2Ni.

Values from the calculation:
space group	Amm2 (38)

Unit cell a=4.125 b=6.833 c=6.833 alpha=120.06 beta=90.00 gamma=90.00
Atoms (fractional coordinates):
Er1 0.000 0.000 0.404
Er2 0.000 0.404 0.000
Ga1 0.500 0.000 0.763
Ga2 0.500 0.763 0.000
Ga3 0.500 0.237 0.237
Si1 0.500 0.333 0.667
Si2 0.500 0.667 0.333
Ni1 0.000 0.001 0.001
Ho1 0.000 0.596 0.596



| no. | E_tot (eV/atom) |
| --- | --- |
| 1 | -5.24 |
| 2 | -3.96 |
| 3 | -4.95 |
| 4 | -5.34 |
| 5 | -5.46 |
| 6 | -4.46 |
| 7 | -6.57 |
| 8 | -4.47 |
| 9 | -7.33 |
| 10 | -5.23 |
| 11 | -8.06 |
| 12 | -5.05 |